DFT (PBE) results for crystalline TmTh3C2 at its relaxed geometry.

Values from the calculation:
The total energy comes out at -93.2 eV for the cell shown. The crystal system is monoclinic. The calculation puts the density of states at the Fermi level at 1.120 states/eV/atom. As for the calculated density: 10.32 g cm⁻³. As for the space group: C2/m (12).

a = 3.6277 Å, b = 8.3733 Å, c = 9.8199 Å
α = 88.65°, β = 79.36°, γ = 77.49°
Positions (direct):
1 C 0.6232 0.1335 0.6202
2 C 0.3768 0.8665 0.3798
3 C 0.8743 0.3802 0.8711
4 C 0.1257 0.6198 0.1289
5 Th 0.8099 0.8228 0.5575
6 Th 0.0593 0.0791 0.8023
7 Th 0.1901 0.1772 0.4425
8 Th 0.6872 0.6774 0.9483
9 Th 0.3128 0.3226 0.0517
10 Th 0.9407 0.9209 0.1977
11 Tm 0.4393 0.4203 0.7010
12 Tm 0.5607 0.5797 0.2990

DFT (PBE) results for crystalline Tm5ThC4 at its relaxed geometry.

Values from the calculation:
The total energy comes out at -69.5 eV for the cell shown. The crystal system is monoclinic. The calculation puts the density of states at the Fermi level at 0.527 states/eV/atom. As for the calculated density: 9.27 g cm⁻³. As for the space group: C2/m (12).

a = 3.6028 Å, b = 7.2993 Å, c = 8.0706 Å
α = 102.69°, β = 102.90°, γ = 90.00°
Positions (direct):
1 Th 0.5000 0.0000 0.0000
2 C 0.3290 0.9101 0.6579
3 C 0.9961 0.7359 0.9922
4 C 0.6710 0.0899 0.3421
5 C 0.0039 0.2641 0.0078
6 Tm 0.5000 0.5000 0.0000
7 Tm 0.1611 0.3097 0.3222
8 Tm 0.8389 0.6903 0.6778
9 Tm 0.1687 0.8571 0.3374
10 Tm 0.8313 0.1429 0.6626

DFT (PBE) results for crystalline Tm2ThC2 at its relaxed geometry.

Values from the calculation:
The total energy comes out at -36.3 eV for the cell shown. The crystal system is trigonal. The calculation puts the density of states at the Fermi level at 0.521 states/eV/atom. As for the calculated density: 9.17 g cm⁻³. As for the space group: R-3m (166).

a = 3.6434 Å, b = 3.6434 Å, c = 9.5894 Å
α = 79.05°, β = 79.05°, γ = 60.00°
Positions (direct):
1 Tm 0.2313 0.2313 0.3061
2 Tm 0.7687 0.7687 0.6939
3 C 0.3931 0.3931 0.8207
4 C 0.6069 0.6069 0.1793
5 Th 0.0000 0.0000 0.0000

DFT (PBE) results for crystalline TmTh6C5 at its relaxed geometry.

Values from the calculation:
The total energy comes out at -189.2 eV for the cell shown. The crystal system is hexagonal. The calculation puts the density of states at the Fermi level at 0.630 states/eV/atom. As for the calculated density: 10.32 g cm⁻³. As for the space group: P6_3/mcm (193).

a = 6.8112 Å, b = 6.8112 Å, c = 12.9794 Å
α = 90.00°, β = 90.00°, γ = 120.00°
Positions (direct):
1 C 0.3333 0.6667 0.0000
2 C 0.6558 0.0000 0.7500
3 C 0.0000 0.6558 0.7500
4 C 0.6667 0.3333 0.0000
5 C 0.3442 0.3442 0.7500
6 C 0.0000 0.3442 0.2500
7 C 0.6667 0.3333 0.5000
8 C 0.3442 0.0000 0.2500
9 C 0.3333 0.6667 0.5000
10 C 0.6558 0.6558 0.2500
11 Tm 0.0000 0.0000 0.7500
12 Tm 0.0000 0.0000 0.2500
13 Th 0.3888 0.0000 0.6176
14 Th 0.0000 0.6112 0.1176
15 Th 0.6112 0.0000 0.1176
16 Th 0.3888 0.3888 0.1176
17 Th 0.0000 0.3888 0.8824
18 Th 0.6112 0.6112 0.8824
19 Th 0.6112 0.0000 0.3824
20 Th 0.0000 0.6112 0.3824
21 Th 0.6112 0.6112 0.6176
22 Th 0.3888 0.3888 0.3824
23 Th 0.3888 0.0000 0.8824
24 Th 0.0000 0.3888 0.6176

DFT (PBE) results for crystalline TmTh5C3 at its relaxed geometry.

Values from the calculation:
The total energy comes out at -141.5 eV for the cell shown. The crystal system is monoclinic. The calculation puts the density of states at the Fermi level at 1.006 states/eV/atom. As for the calculated density: 10.68 g cm⁻³. As for the space group: C2/m (12).

a = 7.2217 Å, b = 7.2217 Å, c = 9.5992 Å
α = 99.81°, β = 113.46°, γ = 104.14°
Positions (direct):
1 C 0.9912 0.6729 0.6641
2 C 0.4992 0.3329 0.8322
3 C 0.5000 0.0000 0.5000
4 C 0.5008 0.6671 0.1678
5 C 0.0088 0.3271 0.3359
6 C 0.0000 0.0000 0.0000
7 Th 0.7968 0.2353 0.0321
8 Th 0.7055 0.3738 0.6647
9 Th 0.2070 0.4332 0.6401
10 Th 0.2945 0.6262 0.3353
11 Th 0.7930 0.5668 0.3599
12 Th 0.7096 0.7096 0.0000
13 Th 0.2904 0.2904 0.0000
14 Th 0.7091 0.0408 0.3353
15 Th 0.2032 0.7647 0.9679
16 Th 0.2909 0.9592 0.6647
17 Tm 0.2070 0.0969 0.3039
18 Tm 0.7930 0.9031 0.6961

DFT (PBE) results for crystalline Tm2Th2C3 at its relaxed geometry.

Values from the calculation:
The total energy comes out at -53.5 eV for the cell shown. The crystal system is monoclinic. The calculation puts the density of states at the Fermi level at 0.563 states/eV/atom. As for the calculated density: 10.06 g cm⁻³. As for the space group: C2/m (12).

a = 3.6363 Å, b = 6.2060 Å, c = 6.9022 Å
α = 112.19°, β = 105.27°, γ = 90.00°
Positions (direct):
1 Th 0.6232 0.7941 0.2464
2 Th 0.3768 0.2059 0.7536
3 Tm 0.1422 0.3319 0.2844
4 Tm 0.8578 0.6681 0.7156
5 C 0.7405 0.2435 0.4810
6 C 0.2595 0.7565 0.5190
7 C 0.0000 0.5000 0.0000

DFT (PBE) results for crystalline Tm2Th3C4 at its relaxed geometry.

Values from the calculation:
The total energy comes out at -70.6 eV for the cell shown. The crystal system is monoclinic. The calculation puts the density of states at the Fermi level at 0.491 states/eV/atom. As for the calculated density: 10.13 g cm⁻³. As for the space group: C2/m (12).

a = 3.6711 Å, b = 3.6711 Å, c = 15.1974 Å
α = 90.04°, β = 89.96°, γ = 120.00°
Positions (direct):
1 Th 0.6659 0.3341 0.3807
2 Th 0.3341 0.6659 0.6193
3 Th 0.0000 0.0000 0.0000
4 C 0.0007 0.9993 0.6972
5 C 0.6664 0.3336 0.1040
6 C 0.3336 0.6664 0.8960
7 C 0.9993 0.0007 0.3028
8 Tm 0.6671 0.3329 0.8093
9 Tm 0.3329 0.6671 0.1907

DFT (PBE) results for crystalline TmTh5C4 at its relaxed geometry.

Values from the calculation:
The total energy comes out at -81.2 eV for the cell shown. The crystal system is monoclinic. The calculation puts the density of states at the Fermi level at 0.635 states/eV/atom. As for the calculated density: 10.62 g cm⁻³. As for the space group: C2/m (12).

a = 3.6681 Å, b = 7.4867 Å, c = 8.2429 Å
α = 102.29°, β = 102.86°, γ = 90.00°
Positions (direct):
1 C 0.3346 0.9202 0.6693
2 C 0.6654 0.0798 0.3307
3 C 0.9974 0.7513 0.9949
4 C 0.0026 0.2487 0.0051
5 Th 0.1580 0.3081 0.3159
6 Th 0.1621 0.8414 0.3242
7 Th 0.5000 0.5000 0.0000
8 Th 0.8420 0.6919 0.6841
9 Th 0.8379 0.1586 0.6758
10 Tm 0.5000 0.0000 0.0000

DFT (PBE) results for crystalline TmTh2C2 at its relaxed geometry.

Values from the calculation:
The total energy comes out at -155.9 eV for the cell shown. The crystal system is orthorhombic. The calculation puts the density of states at the Fermi level at 0.781 states/eV/atom. As for the calculated density: 10.23 g cm⁻³. The value obtained for the energy above the most stable polymorph in this dataset is 25 meV per atom. As for the space group: Pnma (62).

a = 5.3271 Å, b = 7.2911 Å, c = 10.9875 Å
α = 90.00°, β = 90.00°, γ = 90.00°
Positions (direct):
1 Th 0.2500 0.8651 0.0808
2 Th 0.7500 0.6349 0.5808
3 Th 0.2500 0.4028 0.7609
4 Th 0.7500 0.1349 0.9192
5 Th 0.2500 0.9028 0.7391
6 Th 0.7500 0.5972 0.2391
7 Th 0.2500 0.3651 0.4192
8 Th 0.7500 0.0972 0.2609
9 C 0.2500 0.1319 0.9184
10 C 0.2500 0.6319 0.5816
11 C 0.7500 0.3986 0.7491
12 C 0.7500 0.3681 0.4184
13 C 0.2500 0.1014 0.2491
14 C 0.7500 0.8986 0.7509
15 C 0.7500 0.8681 0.0816
16 C 0.2500 0.6014 0.2509
17 Tm 0.7500 0.1513 0.5960
18 Tm 0.7500 0.6513 0.9040
19 Tm 0.2500 0.3487 0.0960
20 Tm 0.2500 0.8487 0.4040

DFT (PBE) results for crystalline TmTh2C2 at its relaxed geometry.

Values from the calculation:
The total energy comes out at -78.2 eV for the cell shown. The crystal system is monoclinic. The calculation puts the density of states at the Fermi level at 0.707 states/eV/atom. As for the calculated density: 10.18 g cm⁻³. The value obtained for the energy above the most stable polymorph in this dataset is 0 meV per atom. As for the space group: C2/m (12).

a = 5.3697 Å, b = 6.4227 Å, c = 7.3037 Å
α = 108.54°, β = 90.00°, γ = 114.71°
Positions (direct):
1 Th 0.9929 0.9859 0.2540
2 Th 0.6662 0.3323 0.5841
3 Th 0.0071 0.0141 0.7460
4 Th 0.3338 0.6677 0.4159
5 Tm 0.6566 0.3131 0.0917
6 Tm 0.3434 0.6869 0.9083
7 C 0.4973 0.9947 0.7531
8 C 0.8382 0.6764 0.4167
9 C 0.1618 0.3236 0.5833
10 C 0.5027 0.0053 0.2469

DFT (PBE) results for crystalline TmTh2UC4 at its relaxed geometry.

Values from the calculation:
The total energy comes out at -69.5 eV for the cell shown. The crystal system is monoclinic. The calculation puts the density of states at the Fermi level at 0.689 states/eV/atom. As for the calculated density: 11.13 g cm⁻³. As for the space group: P2/m (10).

a = 3.6715 Å, b = 6.3402 Å, c = 6.2415 Å
α = 70.68°, β = 90.00°, γ = 90.00°
Positions (direct):
1 Th 0.5000 0.0000 0.5000
2 Th 0.0000 0.0000 0.0000
3 U 0.0000 0.5000 0.5000
4 Tm 0.5000 0.5000 0.0000
5 C 0.0000 0.2712 0.2649
6 C 0.5000 0.7200 0.2743
7 C 0.0000 0.7288 0.7351
8 C 0.5000 0.2800 0.7257

Question: The lowest calculated density belongs to which entry?
Answer: Tm2ThC2

Question: Look up the calculated density of the eighth one.
Answer: 10.62 g cm⁻³